Record 1
The following is a DFT calculation (SCAN) of a crystal of Sr2CuB2O6 relaxed with PBEsol.

```
Sr2CuB2O6
1.0
5.732 0.000 0.000
0.000 8.794 0.000
-2.682 0.000 5.326
Sr Cu B O
4 2 4 12
Cartesian
0.066 0.922 1.798
-1.275 3.475 4.461
4.325 5.319 0.865
2.984 7.872 3.528
2.866 0.000 0.000
1.525 4.397 2.663
-0.037 6.582 3.519
1.304 6.609 0.856
1.746 2.185 4.470
3.087 2.212 1.807
-1.147 5.824 3.288
0.194 7.368 0.625
1.184 5.211 0.957
-0.157 7.981 3.620
0.469 1.654 4.340
1.810 2.744 1.677
1.240 6.051 3.649
2.581 7.141 0.986
3.207 0.814 1.706
1.866 3.584 4.369
2.856 1.426 4.701
4.197 2.971 2.038
```

## Properties
Excess energy over the best structure of this formula in the dataset: 0 meV/atom
Raw formation energy: -2.6607 eV/atom
Size of the total moment: 1.0 μB per formula unit

Record 2
The following is a DFT calculation (SCAN) of a crystal of CuAsAuSe2 relaxed with PBEsol.

```
CuAsAuSe2
1.0
4.734 0.000 0.000
0.000 4.734 0.000
0.000 0.000 4.529
Cu As Au Se
1 1 1 2
Cartesian
0.000 0.000 0.000
0.000 0.000 2.264
2.367 2.367 2.264
0.000 2.367 0.000
2.367 0.000 0.000
```

## Properties
Raw formation energy: 0.7484 eV/atom
Size of the total moment: 0.0 μB per formula unit

Record 3
The following is a DFT calculation (SCAN) of a crystal of RuW2Au relaxed with PBEsol.

```
RuW2Au
1.0
2.785 0.000 0.000
0.000 3.956 0.000
0.000 0.000 5.525
Ru W Au
1 2 1
Cartesian
0.000 0.000 0.000
1.392 1.978 1.280
1.392 1.978 4.245
0.000 0.000 2.763
```

## Properties
E_form: 0.150 eV per atom
Excess energy over the best structure of this formula in the dataset: 0 meV/atom
Size of the total moment: 0.0 μB per formula unit